(1)
A plane-wave DFT calculation with PBE was carried out for CeTl2Ga2O6 after structural relaxation.

It has space group R-3m (No. 166, hexagonal axes), with a = 6.1632 Å, b = 6.1632 Å, c = 18.2172 Å, α = 90.00°, β = 90.00° and γ = 120.00°. Symmetry generates all atoms from Ce at (0.0000, 0.0000, 0.0000), Tl at (0.0000, 0.0000, 0.2028), Ga at (0.0000, 0.0000, 0.4071) and O at (0.0018, 0.5009, 0.7436).

The uncorrected formation energy is -1772 meV per atom. Its volume is 599 Å³/cell.

---

(2)
A plane-wave DFT calculation with PBE was carried out for HoNi4Bi after structural relaxation.

It has space group F-43m (No. 216), with a = 7.1555 Å, b = 7.1555 Å, c = 7.1555 Å, α = 90.00°, β = 90.00° and γ = 90.00°. Symmetry generates all atoms from Ho at (0.0000, 0.0000, 0.0000), Ni at (0.1258, 0.1258, 0.6258) and Bi at (0.2500, 0.2500, 0.2500).

For the energy of formation from the pure elements, the calculation gives -0.247 eV/atom. Its volume is 366 Å³/cell.

---

(3)
A plane-wave DFT calculation with PBE was carried out for PmDy3Os after structural relaxation.

It has space group C2/m (No. 12), with a = 17.4744 Å, b = 3.6571 Å, c = 9.5335 Å, α = 90.00°, β = 105.65° and γ = 90.00°. Symmetry generates all atoms from Pm at (0.1929, 0.0000, 0.3055), Dy at (0.0011, 0.5000, 0.1761), Dy at (0.0975, 0.5000, 0.5440), Dy at (0.1833, 0.0000, 0.8744) and Os at (0.1362, 0.5000, 0.0628).

For the energy of formation from the pure elements, the calculation gives 0.053 eV/atom. Its volume is 587 Å³/cell.

---

(4)
A plane-wave DFT calculation with PBE was carried out for Sr2ReW after structural relaxation.

It has space group Immm (No. 71), with a = 3.4192 Å, b = 3.9127 Å, c = 18.3764 Å, α = 90.00°, β = 90.00° and γ = 90.00°. Symmetry generates all atoms from Sr at (0.0000, 0.0000, 0.1480), Re at (0.0000, 0.5000, 0.5000) and W at (0.0000, 0.5000, 0.0000).

For the energy of formation from the pure elements, the calculation gives 0.716 eV/atom. For the excess energy over the best structure of this formula in the dataset, the calculation gives 0.77 eV/f.u. Its volume is 246 Å³/cell.

---

M_tot list, top to bottom, in μB per formula unit: 0.00 0.00 0.25 0.00